1.
CeErSn2: optimized geometry, PBE.

Lattice parameters (Å, degrees): 4.4469 4.9052 4.9052 90.00 90.00 90.00
Last column: nearest neighbours and their distance in Å.
Element x y z (fractional)
Sn 0.0000 0.0000 0.5000  4 Ce 3.31, 4 Er 3.31, 4 Sn 3.47
Sn 0.0000 0.5000 0.0000  4 Ce 3.31, 4 Er 3.31, 4 Sn 3.47
Ce 0.5000 0.0000 0.0000  8 Sn 3.31, 4 Er 3.47
Er 0.5000 0.5000 0.5000  8 Sn 3.31, 4 Ce 3.47


2.
CuAsPt2: optimized geometry, PBE.

Lattice parameters (Å, degrees): 4.9137 4.9137 4.4330 72.93 72.93 36.57
Last column: nearest neighbours and their distance in Å.
Element x y z (fractional)
As 0.4942 0.4942 0.4471  7 Pt 2.62-2.75, 2 Cu 2.72
Cu 0.7613 0.7613 0.7930  7 Pt 2.63-2.71, 2 As 2.72
Pt 0.0118 0.0118 0.9488  3 Cu 2.63-2.70, 4 As 2.66-2.75, 1 Pt 2.94
Pt 0.2327 0.2327 0.3111  3 As 2.62-2.69, 4 Cu 2.71


3.
TcS: optimized geometry, PBE.

## Properties
formation energy (no corrections) = -0.19 eV per atom
ΔE to the lowest computed polymorph = 0.201 eV per atom

Lattice parameters (Å, degrees): 11.0736 11.0736 3.0905 90.00 90.00 90.00
Last column: nearest neighbours and their distance in Å.
Element x y z (fractional)
Tc 0.7667 0.4055 0.5000  4 S 2.29-2.38
Tc 0.2333 0.5945 0.5000  4 S 2.29-2.38
Tc 0.5945 0.7667 0.5000  4 S 2.29-2.38
Tc 0.4055 0.2333 0.5000  4 S 2.29-2.38
Tc 0.8882 0.5626 0.0000  4 S 2.30-2.42
Tc 0.1118 0.4374 0.0000  4 S 2.30-2.42
Tc 0.4374 0.8882 0.0000  4 S 2.30-2.42
Tc 0.5626 0.1118 0.0000  4 S 2.30-2.42
S 0.7449 0.6197 0.5000  4 Tc 2.30-2.38
S 0.2551 0.3803 0.5000  4 Tc 2.30-2.38
S 0.3803 0.7449 0.5000  4 Tc 2.30-2.38
S 0.6197 0.2551 0.5000  4 Tc 2.30-2.38
S 0.9100 0.3527 0.0000  4 Tc 2.29-2.42
S 0.0900 0.6473 0.0000  4 Tc 2.29-2.42
S 0.6473 0.9100 0.0000  4 Tc 2.29-2.42
S 0.3527 0.0900 0.0000  4 Tc 2.29-2.42


4.
TiCrSb2I: optimized geometry, PBE.

## Properties
formation energy (no corrections) = 0.53 eV per atom
ΔE to the lowest computed polymorph = 0.000 eV per atom

Lattice parameters (Å, degrees): 5.2486 5.2486 5.6480 90.00 90.00 90.00
Last column: nearest neighbours and their distance in Å.
Element x y z (fractional)
I 0.0000 0.0000 0.5000  2 Ti 2.82
Sb 0.0000 0.5000 0.0000  2 Ti 2.62
Sb 0.5000 0.0000 0.0000  2 Ti 2.62
Ti 0.0000 0.0000 0.0000  4 Sb 2.62, 2 I 2.82
Cr 0.5000 0.5000 0.5000  4 I 3.71, 8 Sb 3.86


no.,uncorrected energy (eV/atom),calculated volume (Å³/atom)
1,-5.226,26.75
2,-5.311,15.16
3,-7.434,23.69
4,-4.937,31.12